# NdZn2Ni4Ge (PBE, optimized geometry)
data_NdZn2Ni4Ge
_cell_length_a 4.084
_cell_length_b 4.084
_cell_length_c 8.713
_cell_angle_alpha 76.45
_cell_angle_beta 76.45
_cell_angle_gamma 60.00
_space_group_name_H-M_alt 'P 1'
_space_group_IT_number 1
loop_
_space_group_symop_operation_xyz
'x,y,z'
loop_
_atom_site_label
_atom_site_fract_x
_atom_site_fract_y
_atom_site_fract_z
Nd1 0.000 0.000 0.000
Zn1 0.758 0.758 0.726
Zn2 0.242 0.242 0.274
Ni1 0.407 0.407 0.778
Ni2 0.866 0.866 0.402
Ni3 0.134 0.134 0.598
Ni4 0.593 0.593 0.222
Ge1 0.500 0.500 0.500
# ΔH_f (0 K)   -2.2 eV per formula unit
# V   15.15 Å³/atom
# Energy   -4.66 eV/atom
# ρ   8.0 Mg/m³



# Ce2Al2Ga3 (PBE, optimized geometry)
data_Ce2Al2Ga3
_cell_length_a 4.370
_cell_length_b 7.170
_cell_length_c 9.766
_cell_angle_alpha 90.00
_cell_angle_beta 102.93
_cell_angle_gamma 90.00
_space_group_name_H-M_alt 'P 1'
_space_group_IT_number 1
loop_
_space_group_symop_operation_xyz
'x,y,z'
loop_
_atom_site_label
_atom_site_fract_x
_atom_site_fract_y
_atom_site_fract_z
Ce1 0.160 0.250 0.320
Ce2 0.840 0.750 0.680
Ce3 0.947 0.250 0.895
Ce4 0.053 0.750 0.105
Al1 0.678 0.935 0.355
Al2 0.322 0.065 0.645
Al3 0.322 0.435 0.645
Al4 0.678 0.565 0.355
Ga1 0.221 0.750 0.443
Ga2 0.779 0.250 0.557
Ga3 0.558 0.423 0.115
Ga4 0.442 0.577 0.885
Ga5 0.442 0.923 0.885
Ga6 0.558 0.077 0.115
# ΔH_f (0 K)   -3.1 eV per formula unit
# V   21.30 Å³/atom
# Energy   -4.51 eV/atom
# ρ   6.1 Mg/m³